(1)
Density functional theory data (PBE) for crystalline YSc2PaBi4 at its relaxed geometry.

Cell lengths 4.3730, 7.5974, 7.5586 Å; angles 109.34, 90.00, 90.00 degrees
Last column: nearest neighbours and their distance in Å.
Fractional positions:
Y1 0.5000 0.5000 0.0000  6 Bi 3.16
Sc1 0.5000 0.0000 0.5000  6 Bi 3.03
Sc2 0.0000 0.5000 0.5000  6 Bi 3.02-3.03
Pa1 0.0000 0.0000 0.0000  6 Bi 3.15-3.17
Bi1 0.5000 0.2567 0.2668  3 Sc 3.02-3.03, 1 Y 3.16, 2 Pa 3.17
Bi2 0.5000 0.7433 0.7332  3 Sc 3.02-3.03, 1 Y 3.16, 2 Pa 3.17
Bi3 0.0000 0.2448 0.7350  3 Sc 3.03, 1 Pa 3.15, 2 Y 3.16
Bi4 0.0000 0.7552 0.2650  3 Sc 3.03, 1 Pa 3.15, 2 Y 3.16

Computed properties:
Size of the total moment = 1.06 μB per formula unit
Energy relative to the elements = -0.561 eV/atom
VASP energy = -0.223 Ha/atom
Space-group type = No. 10

***

(2)
Density functional theory data (PBE) for crystalline YbFe4Ge2 at its relaxed geometry.

Cell lengths 7.2633, 7.2633, 3.8364 Å; angles 90.00, 90.00, 90.00 degrees
Last column: nearest neighbours and their distance in Å.
Fractional positions:
Yb1 0.0000 0.0000 0.5000  6 Ge 2.91-2.94, 4 Fe 3.16
Yb2 0.5000 0.5000 0.0000  6 Ge 2.91-2.94, 4 Fe 3.16
Fe1 0.8570 0.4103 0.5000  3 Ge 2.44-2.45, 5 Fe 2.45-2.59
Fe2 0.4103 0.8570 0.5000  3 Ge 2.44-2.45, 5 Fe 2.45-2.59
Fe3 0.9103 0.6430 0.0000  3 Ge 2.44-2.45, 5 Fe 2.45-2.59
Fe4 0.3570 0.0897 0.0000  3 Ge 2.44-2.45, 5 Fe 2.45-2.59
Fe5 0.0897 0.3570 0.0000  3 Ge 2.44-2.45, 5 Fe 2.45-2.59
Fe6 0.1430 0.5897 0.5000  3 Ge 2.44-2.45, 5 Fe 2.45-2.59
Fe7 0.5897 0.1430 0.5000  3 Ge 2.44-2.45, 5 Fe 2.45-2.59
Fe8 0.6430 0.9103 0.0000  3 Ge 2.44-2.45, 5 Fe 2.45-2.59
Ge1 0.2834 0.2834 0.5000  6 Fe 2.44-2.45
Ge2 0.2166 0.7834 0.0000  6 Fe 2.44-2.45
Ge3 0.7834 0.2166 0.0000  6 Fe 2.44-2.45
Ge4 0.7166 0.7166 0.5000  6 Fe 2.44-2.45

Computed properties:
Size of the total moment = 6.88 μB per formula unit
Energy relative to the elements = -0.220 eV/atom
VASP energy = -0.242 Ha/atom
Space-group type = No. 136

***

(3)
Density functional theory data (PBE) for crystalline Ni3PtS at its relaxed geometry.

Cell lengths 4.6018, 4.6018, 4.6018 Å; angles 90.00, 90.00, 90.00 degrees
Last column: nearest neighbours and their distance in Å.
Fractional positions:
Ni1 0.0000 0.5000 0.0000  2 Pt 2.30
Ni2 0.0000 0.0000 0.5000  2 Pt 2.30
Ni3 0.5000 0.0000 0.0000  2 Pt 2.30
S1 0.5000 0.5000 0.5000  12 Ni 3.25
Pt1 0.0000 0.0000 0.0000  6 Ni 2.30

Computed properties:
Energy relative to the elements, uncorrected = 1.241 eV/atom
Size of the total moment = 4.00 μB per formula unit
VASP energy = -0.157 Ha/atom
Space-group type = No. 221